# 1
This record from the Alexandria database describes an optimized crystal structure of Zn10CuPt6. The functional is PBE.

a b c (Å): 7.510 7.510 5.263
angles (deg): 90.00 90.00 120.00
Atoms (fractional coordinates):
Zn  0.000  0.291  0.323
Zn  0.000  0.709  0.677
Zn  0.291  0.000  0.323
Zn  0.291  0.291  0.677
Zn  0.333  0.667  0.000
Zn  0.333  0.667  0.500
Zn  0.667  0.333  0.000
Zn  0.667  0.333  0.500
Zn  0.709  0.000  0.677
Zn  0.709  0.709  0.323
Cu  0.000  0.000  0.000
Pt  0.000  0.357  0.810
Pt  0.000  0.643  0.190
Pt  0.357  0.000  0.810
Pt  0.357  0.357  0.190
Pt  0.643  0.000  0.190
Pt  0.643  0.643  0.810

The calculation puts the calculated formation energy at -0.3814 eV/atom. The calculation puts the total energy at -3.504 eV/atom. The theoretical density comes out at 12.196 g/cm3. The value obtained for the total magnetization is 0.00 μB/f.u. As for the space group: P-31m.

# 2
This record from the Alexandria database describes an optimized crystal structure of ZnCu3Pt2. The functional is PBE.

a b c (Å): 3.766 11.504 3.763
angles (deg): 90.00 90.00 90.00
Atoms (fractional coordinates):
Zn  0.000  0.000  0.000
Zn  0.500  0.500  0.000
Cu  0.000  0.169  0.500
Cu  0.000  0.500  0.500
Cu  0.000  0.831  0.500
Cu  0.500  0.000  0.500
Cu  0.500  0.331  0.500
Cu  0.500  0.669  0.500
Pt  0.000  0.340  0.000
Pt  0.000  0.660  0.000
Pt  0.500  0.160  0.000
Pt  0.500  0.840  0.000

The calculation puts the calculated formation energy at -0.2545 eV/atom. Its polymorph energy (0 for the lowest one) is 0 meV per atom. The calculation puts the total energy at -4.529 eV/atom. The theoretical density comes out at 13.163 g/cm3. The value obtained for the total magnetization is 0.00 μB/f.u. As for the space group: Cmmm.

# 3
This record from the Alexandria database describes an optimized crystal structure of Zn7CuPt2. The functional is PBE.

a b c (Å): 4.225 4.225 10.481
angles (deg): 90.00 90.00 120.00
Atoms (fractional coordinates):
Zn  0.000  0.000  0.000
Zn  0.000  0.000  0.252
Zn  0.000  0.000  0.736
Zn  0.333  0.667  0.406
Zn  0.333  0.667  0.899
Zn  0.667  0.333  0.110
Zn  0.667  0.333  0.589
Cu  0.333  0.667  0.157
Pt  0.000  0.000  0.495
Pt  0.667  0.333  0.844

The calculation puts the calculated formation energy at -0.2306 eV/atom. The calculation puts the total energy at -2.740 eV/atom. The theoretical density comes out at 9.343 g/cm3. The value obtained for the total magnetization is 0.00 μB/f.u. As for the space group: P3m1.

# 4
This record from the Alexandria database describes an optimized crystal structure of Zn5CuPt6. The functional is PBE.

a b c (Å): 7.310 7.310 7.310
angles (deg): 147.60 122.47 67.59
Atoms (fractional coordinates):
Zn  0.000  0.000  0.000
Zn  0.168  0.668  0.500
Zn  0.338  0.338  0.000
Zn  0.662  0.662  0.000
Zn  0.832  0.332  0.500
Cu  0.500  0.000  0.500
Pt  0.082  0.833  0.249
Pt  0.247  0.500  0.747
Pt  0.415  0.167  0.249
Pt  0.585  0.833  0.751
Pt  0.753  0.500  0.253
Pt  0.918  0.167  0.751

The calculation puts the calculated formation energy at -0.5169 eV/atom. The calculation puts the total energy at -4.409 eV/atom. The theoretical density comes out at 14.871 g/cm3. The value obtained for the total magnetization is 0.00 μB/f.u. As for the space group: Immm.